Record 1
Compound: AgHgHI2
Source: Alexandria via LeMat-Bulk
Functional: GGA-PBE
Structure: optimized geometry

Properties
electronic total energy	-8.78	eV per formula unit
total magnetization	0.0	μB per formula unit
density of states at the Fermi level	2.44	states/eV/cell

abc: 5.798 3.789 5.798
angles: 90.00 90.00 90.00
Atoms (fractional coordinates):
I1 0.000 0.000 0.500
I2 0.500 0.000 0.000
Hg1 0.500 0.500 0.500
H1 0.000 0.500 0.000
Ag1 0.000 0.000 0.000

Record 2
Compound: FeCuAuN
Source: Alexandria via LeMat-Bulk
Functional: GGA-PBE
Structure: optimized geometry

Properties
total magnetization	0.0	μB per formula unit
energy relative to the elements, uncorrected	0.12	eV/atom
density of states at the Fermi level	3.11	states/eV/cell
ΔE to the lowest computed polymorph	31.7	meV per atom

abc: 2.937 2.939 7.137
angles: 77.96 77.91 60.08
Atoms (fractional coordinates):
Cu1 0.166 0.577 0.536
Au1 0.396 0.809 0.837
N1 0.259 0.674 0.259
Fe1 0.950 0.365 0.186

Record 3
Compound: ScCuPdPt
Source: Alexandria via LeMat-Bulk
Functional: GGA-PBE
Structure: optimized geometry

Properties
ΔE_f	-0.791	eV/atom
total magnetization	0.0	μB per formula unit
density of states at the Fermi level	1.01	states/eV/cell

abc: 4.092 4.092 4.726
angles: 115.66 115.66 90.00
Atoms (fractional coordinates):
Pt1 0.000 0.000 0.000
Cu1 0.250 0.750 0.500
Pd1 0.500 0.500 0.000
Sc1 0.750 0.250 0.500

Record 4
Compound: Ba4CdTe
Source: Alexandria via LeMat-Bulk
Functional: GGA-PBE
Structure: optimized geometry

Properties
total magnetization	1.3	μB per formula unit
energy relative to the elements, uncorrected	0.05	eV/atom
density of states at the Fermi level	8.27	states/eV/cell

abc: 7.341 7.341 7.341
angles: 60.00 60.00 60.00
Site moments in Bohr magnetons follow the coordinates.
Atoms (fractional coordinates):
Cd1 0.750 0.750 0.750  0.04
Ba1 0.878 0.374 0.374  0.08
Ba2 0.374 0.374 0.878  0.08
Ba3 0.374 0.374 0.374  0.08
Ba4 0.374 0.878 0.374  0.08
Te1 0.000 0.000 0.000  0.01

Record 5
Compound: Sc2MoBr
Source: Alexandria via LeMat-Bulk
Functional: GGA-PBE
Structure: optimized geometry

Properties
total magnetization	0.0	μB per formula unit
energy relative to the elements, uncorrected	0.24	eV/atom
density of states at the Fermi level	4.98	states/eV/cell
ΔE to the lowest computed polymorph	608.1	meV per atom

abc: 5.791 5.791 5.791
angles: 140.24 140.24 57.49
Atoms (fractional coordinates):
Mo1 0.750 0.250 0.500
Br1 0.500 0.500 0.000
Sc1 0.250 0.750 0.500
Sc2 0.000 0.000 0.000

Record 6
Compound: PmEr3Ag
Source: Alexandria via LeMat-Bulk
Functional: GGA-PBE
Structure: optimized geometry

Properties
ΔE_f	0.053	eV/atom
total magnetization	0.0	μB per formula unit
density of states at the Fermi level	13.79	states/eV/cell

abc: 7.083 7.083 7.937
angles: 98.25 118.16 108.08
Atoms (fractional coordinates):
Er1 0.183 0.027 0.800
Er2 0.227 0.382 0.200
Er3 0.259 0.556 0.816
Er4 0.773 0.618 0.800
Er5 0.741 0.444 0.184
Er6 0.817 0.973 0.200
Ag1 0.313 0.246 0.560
Ag2 0.687 0.754 0.440
Pm1 0.312 0.916 0.228
Pm2 0.688 0.084 0.772

Record 7
Compound: LiFe2As
Source: Alexandria via LeMat-Bulk
Functional: GGA-PBE
Structure: optimized geometry

Properties
ΔE_f	0.007	eV/atom
total magnetization	4.7	μB per formula unit
density of states at the Fermi level	3.06	states/eV/cell

abc: 3.915 2.819 4.992
angles: 73.85 90.00 90.00
Site moments in Bohr magnetons follow the coordinates.
Atoms (fractional coordinates):
Fe1 0.500 0.213 0.201  2.51
Fe2 0.000 0.800 0.028  2.25
As1 0.500 0.944 0.736  -0.04
Li1 0.000 0.543 0.535  -0.02

Record 8
Compound: TiGa
Source: Alexandria via LeMat-Bulk
Functional: GGA-PBE
Structure: optimized geometry

Properties
ΔE_f	-0.384	eV/atom
total magnetization	0.0	μB per formula unit
density of states at the Fermi level	8.06	states/eV/cell

abc: 5.196 5.208 9.739
angles: 90.00 90.00 90.00
Atoms (fractional coordinates):
Ti1 0.648 0.634 0.955
Ti2 0.117 0.623 0.736
Ti3 0.352 0.134 0.545
Ti4 0.383 0.377 0.236
Ti5 0.883 0.123 0.764
Ti6 0.148 0.866 0.045
Ti7 0.617 0.877 0.264
Ti8 0.852 0.366 0.455
Ga1 0.125 0.952 0.311
Ga2 0.649 0.116 0.027
Ga3 0.351 0.616 0.473
Ga4 0.875 0.452 0.189
Ga5 0.625 0.548 0.689
Ga6 0.375 0.048 0.811
Ga7 0.851 0.884 0.527
Ga8 0.149 0.384 0.973

> density of states at the Fermi level of number 4 (Ba4CdTe)?

8.27 states/eV/cell